# Cd4HgCl

An optimized crystal structure of Cd4HgCl (PBE-GGA, the Alexandria database).

The structure in CIF format:
```
data_Cd4HgCl
_symmetry_space_group_name_H-M 'P 1'
_symmetry_Int_Tables_number 1
_cell_length_a 5.989
_cell_length_b 5.989
_cell_length_c 5.989
_cell_angle_alpha 60.00
_cell_angle_beta 60.00
_cell_angle_gamma 60.00
loop_
_symmetry_equiv_pos_as_xyz
'x,y,z'
loop_
_atom_site_label
_atom_site_fract_x
_atom_site_fract_y
_atom_site_fract_z
_atom_site_occupancy
Cd1 0.876 0.375 0.375 1
Cd2 0.375 0.375 0.876 1
Cd3 0.375 0.876 0.375 1
Cd4 0.375 0.375 0.375 1
Hg1 0.000 0.000 0.000 1
Cl1 0.750 0.750 0.750 1
```

Energy relative to the elements, uncorrected: -0.20 eV per formula unit
Calculated density: 7.50 g/cm3

***

# CdHgCl2

An optimized crystal structure of CdHgCl2 (PBE-GGA, the Alexandria database).

The structure in CIF format:
```
data_CdHgCl2
_symmetry_space_group_name_H-M 'P 1'
_symmetry_Int_Tables_number 1
_cell_length_a 3.874
_cell_length_b 3.874
_cell_length_c 21.738
_cell_angle_alpha 90.00
_cell_angle_beta 90.00
_cell_angle_gamma 120.00
loop_
_symmetry_equiv_pos_as_xyz
'x,y,z'
loop_
_atom_site_label
_atom_site_fract_x
_atom_site_fract_y
_atom_site_fract_z
_atom_site_occupancy
Cd1 0.000 0.000 0.000 1
Cd2 0.000 0.000 0.500 1
Hg1 0.667 0.333 0.750 1
Hg2 0.333 0.667 0.250 1
Cl1 0.333 0.667 0.433 1
Cl2 0.667 0.333 0.933 1
Cl3 0.333 0.667 0.067 1
Cl4 0.667 0.333 0.567 1
```

Offset from the most stable computed form: 0.000 eV per atom
Energy relative to the elements, uncorrected: -3.17 eV per formula unit
Calculated density: 4.51 g/cm3

***

# Cd2HgCl

An optimized crystal structure of Cd2HgCl (PBE-GGA, the Alexandria database).

The structure in CIF format:
```
data_Cd2HgCl
_symmetry_space_group_name_H-M 'P 1'
_symmetry_Int_Tables_number 1
_cell_length_a 5.500
_cell_length_b 5.500
_cell_length_c 5.500
_cell_angle_alpha 127.90
_cell_angle_beta 127.90
_cell_angle_gamma 76.79
loop_
_symmetry_equiv_pos_as_xyz
'x,y,z'
loop_
_atom_site_label
_atom_site_fract_x
_atom_site_fract_y
_atom_site_fract_z
_atom_site_occupancy
Cl1 0.250 0.750 0.500 1
Hg1 0.750 0.250 0.500 1
Cd1 0.000 0.000 0.000 1
Cd2 0.500 0.500 0.000 1
```

Offset from the most stable computed form: 0.156 eV per atom
Energy relative to the elements, uncorrected: -0.52 eV per formula unit
Calculated density: 7.61 g/cm3

***

# Cd4HgCl8

An optimized crystal structure of Cd4HgCl8 (PBE-GGA, the Alexandria database).

The structure in CIF format:
```
data_Cd4HgCl8
_symmetry_space_group_name_H-M 'P 1'
_symmetry_Int_Tables_number 1
_cell_length_a 3.921
_cell_length_b 9.674
_cell_length_c 10.095
_cell_angle_alpha 82.98
_cell_angle_beta 78.80
_cell_angle_gamma 78.31
loop_
_symmetry_equiv_pos_as_xyz
'x,y,z'
loop_
_atom_site_label
_atom_site_fract_x
_atom_site_fract_y
_atom_site_fract_z
_atom_site_occupancy
Cd1 0.368 0.825 0.439 1
Cd2 0.853 0.502 0.793 1
Cd3 0.179 0.501 0.141 1
Cd4 0.664 0.178 0.495 1
Hg1 0.516 0.001 0.967 1
Cl1 0.149 0.328 0.374 1
Cl2 0.556 0.657 0.230 1
Cl3 0.475 0.346 0.704 1
Cl4 0.882 0.676 0.560 1
Cl5 0.853 0.978 0.316 1
Cl6 0.228 0.650 0.893 1
Cl7 0.179 0.025 0.617 1
Cl8 0.803 0.353 0.041 1
```

Energy relative to the elements, uncorrected: -12.74 eV per formula unit
Calculated density: 4.23 g/cm3

***

# CdHg2Cl

An optimized crystal structure of CdHg2Cl (PBE-GGA, the Alexandria database).

The structure in CIF format:
```
data_CdHg2Cl
_symmetry_space_group_name_H-M 'P 1'
_symmetry_Int_Tables_number 1
_cell_length_a 6.575
_cell_length_b 6.575
_cell_length_c 6.754
_cell_angle_alpha 46.71
_cell_angle_beta 46.71
_cell_angle_gamma 35.41
loop_
_symmetry_equiv_pos_as_xyz
'x,y,z'
loop_
_atom_site_label
_atom_site_fract_x
_atom_site_fract_y
_atom_site_fract_z
_atom_site_occupancy
Cl1 0.197 0.197 0.325 1
Hg1 0.002 0.002 0.049 1
Hg2 0.775 0.775 0.728 1
Cd1 0.526 0.526 0.398 1
```

Offset from the most stable computed form: 0.038 eV per atom
Energy relative to the elements, uncorrected: -1.05 eV per formula unit
Calculated density: 7.76 g/cm3

***

# Cd2HgCl

An optimized crystal structure of Cd2HgCl (PBE-GGA, the Alexandria database).

The structure in CIF format:
```
data_Cd2HgCl
_symmetry_space_group_name_H-M 'P 1'
_symmetry_Int_Tables_number 1
_cell_length_a 5.247
_cell_length_b 5.247
_cell_length_c 5.247
_cell_angle_alpha 60.00
_cell_angle_beta 60.00
_cell_angle_gamma 60.00
loop_
_symmetry_equiv_pos_as_xyz
'x,y,z'
loop_
_atom_site_label
_atom_site_fract_x
_atom_site_fract_y
_atom_site_fract_z
_atom_site_occupancy
Cl1 0.000 0.000 0.000 1
Hg1 0.500 0.500 0.500 1
Cd1 0.250 0.250 0.250 1
Cd2 0.750 0.750 0.750 1
```

Offset from the most stable computed form: 0.162 eV per atom
Energy relative to the elements, uncorrected: -0.49 eV per formula unit
Calculated density: 7.49 g/cm3

***

Which of these has the lowest energy relative to the elements, uncorrected?
Cd4HgCl8